Crystalline Pm2SmRu2 at its relaxed geometry, computed with GGA-PBE.

Cell: 6.1743 6.1743 10.0822 Å, 90.00 90.00 139.15°
Atoms (fractional coordinates):
Pm 0.0932 0.9068 0.5000
Pm 0.3532 0.6468 0.6850
Pm 0.6468 0.3532 0.1850
Pm 0.9068 0.0932 0.0000
Sm 0.3536 0.6464 0.3151
Sm 0.6464 0.3536 0.8151
Ru 0.0006 0.9994 0.7504
Ru 0.1867 0.8133 0.9991
Ru 0.8133 0.1867 0.4991
Ru 0.9994 0.0006 0.2504

Computed properties:
Space-group type ... Cmc2_1
Energy of formation from the pure elements ... -0.158 eV per atom